Entry from the Alexandria database: LaZn3Pd after structural relaxation (GGA-PBE).

Cell lengths 6.4144, 6.4144, 5.5907 Å; angles 90.00, 90.00, 120.00 degrees
Closest atoms and distances in Å follow each position.
Space group P6_3/mmc (No. 194)
Inequivalent atoms, fractional coordinates:
La 0.3333 0.6667 0.2500  12 Zn 3.20-3.22
Zn 0.1939 0.3879 0.7500  2 Pd 2.57, 2 Zn 2.68
Pd 0.0000 0.0000 0.0000  6 Zn 2.57, 2 Pd 2.80

Computed properties:
* energy above the lowest structure with this stoichiometry: 0.23 eV per formula unit
* formation energy: -42.0 kJ/mol of atoms